# LaBeAgRh2

A relaxed structure of LaBeAgRh2 (GGA-PBE, the Alexandria database).

Summary:
Symmetry: P4/mmm, No. 123
Formation enthalpy at 0 K, eV per atom: -0.434
Calculated total energy, hartree per atom: -0.20857

Cell lengths 4.439, 4.439, 4.396 Å; angles 90.00, 90.00, 90.00 degrees
Positions (direct):
La (0.000, 0.000, 0.000)
Be (0.500, 0.500, 0.500)
Ag (0.500, 0.500, 0.000)
Rh (0.000, 0.500, 0.500)
Rh (0.500, 0.000, 0.500)